(1)
GaS3N after structural relaxation, computed with GGA-PBEsol.

## Properties
The raw formation energy is 0.788 eV/atom. The calculation puts the density of states at the Fermi level at 3.93 states/eV per cell. The calculation puts the total energy at -4.2156 eV per atom. For the density, the calculation gives 4.28 g/cm³. The calculated volume is 13.98 Å³/atom.

The structure in POSCAR format:
```
GaS3N
1.0
4.1188 0.0000 0.0000
0.0000 4.1188 0.0000
0.0000 0.0000 4.1188
Ga S N
1 3 1
Direct
0.0000 0.0000 0.0000
0.0000 0.5000 0.5000
0.5000 0.0000 0.5000
0.5000 0.5000 0.0000
0.5000 0.5000 0.5000
```

(2)
BaSrSn2O6 after structural relaxation, computed with GGA-PBEsol.

## Properties
The raw formation energy is -2.231 eV/atom. The calculation puts the total energy at -6.6315 eV per atom. For the density, the calculation gives 6.73 g/cm³. The calculated volume is 13.78 Å³/atom. Its relative energy among the computed polymorphs is 0.004 eV per atom.

The structure in POSCAR format:
```
BaSrSn2O6
1.0
0.0000 4.0997 4.0997
4.0997 0.0000 4.0997
4.0997 4.0997 0.0000
Ba Sr Sn O
1 1 2 6
Direct
0.0000 0.0000 0.0000
0.5000 0.5000 0.5000
0.2500 0.2500 0.2500
0.7500 0.7500 0.7500
0.0000 0.0000 0.5000
0.0000 0.5000 0.0000
0.0000 0.5000 0.5000
0.5000 0.0000 0.0000
0.5000 0.0000 0.5000
0.5000 0.5000 0.0000
```

(3)
SnIO2 after structural relaxation, computed with GGA-PBEsol.

## Properties
The raw formation energy is 0.094 eV/atom. The calculation puts the density of states at the Fermi level at 4.55 states/eV per cell. The calculation puts the total energy at -4.0373 eV per atom. For the density, the calculation gives 6.79 g/cm³. The calculated volume is 16.98 Å³/atom. Its relative energy among the computed polymorphs is 0.800 eV per atom.

The structure in POSCAR format:
```
SnIO2
1.0
3.2174 0.0000 0.0000
-1.6087 2.7863 0.0000
0.0000 0.0000 22.7247
Sn I O
3 3 6
Direct
0.0000 0.0000 0.0000
0.3333 0.6667 0.6667
0.6667 0.3333 0.3333
0.0000 0.0000 0.5000
0.3333 0.6667 0.1667
0.6667 0.3333 0.8333
0.0000 0.0000 0.0920
0.0000 0.0000 0.9080
0.3333 0.6667 0.5746
0.3333 0.6667 0.7587
0.6667 0.3333 0.2413
0.6667 0.3333 0.4254
```

(4)
CaYSi2 after structural relaxation, computed with GGA-PBEsol.

## Properties
The raw formation energy is -0.439 eV/atom. The calculation puts the density of states at the Fermi level at 3.94 states/eV per cell. The calculation puts the total energy at -5.5514 eV per atom. For the density, the calculation gives 3.65 g/cm³. The calculated volume is 21.04 Å³/atom.

The structure in POSCAR format:
```
CaYSi2
1.0
6.4706 0.0000 0.0000
0.0000 8.0553 0.0000
0.0000 0.0000 3.2291
Ca Y Si
2 2 4
Direct
0.0000 0.0000 0.0000
0.5000 0.5000 0.0000
0.0000 0.5000 0.0000
0.5000 0.0000 0.0000
0.2500 0.2500 0.5000
0.2500 0.7500 0.5000
0.7500 0.2500 0.5000
0.7500 0.7500 0.5000
```

(5)
CaY2Mo after structural relaxation, computed with GGA-PBEsol.

## Properties
As for the formation energy: 470.7 meV per atom. The calculation puts the density of states at the Fermi level at 9.85 states/eV per cell. The calculation puts the total energy at -6.4156 eV per atom. For the density, the calculation gives 5.35 g/cm³. The calculated volume is 24.33 Å³/atom. Its relative energy among the computed polymorphs is 0.000 eV per atom.

The structure in POSCAR format:
```
CaY2Mo
1.0
5.1568 0.0000 0.0000
0.0000 5.1568 0.0000
0.0000 0.0000 7.3193
Ca Y Mo
2 4 2
Direct
0.0000 0.0000 0.0000
0.5000 0.5000 0.5000
0.0000 0.5000 0.2500
0.0000 0.5000 0.7500
0.5000 0.0000 0.2500
0.5000 0.0000 0.7500
0.0000 0.0000 0.5000
0.5000 0.5000 0.0000
```

(6)
LiV5B2O10 after structural relaxation, computed with GGA-PBEsol.

## Properties
The raw formation energy is -2.161 eV/atom. The calculation puts the density of states at the Fermi level at 22.26 states/eV per cell. The calculation puts the total energy at -8.6423 eV per atom. For the density, the calculation gives 4.37 g/cm³. The calculated volume is 9.35 Å³/atom.

The structure in POSCAR format:
```
LiV5B2O10
1.0
9.3875 0.0000 0.0000
0.0000 12.3266 0.0000
0.0000 0.0000 2.9086
Li V B O
2 10 4 20
Direct
0.0000 0.0000 0.0000
0.5000 0.5000 0.0000
0.0000 0.5000 0.5000
0.0070 0.2140 0.5000
0.2476 0.3903 0.0000
0.2524 0.8903 0.0000
0.4930 0.7140 0.5000
0.5000 0.0000 0.5000
0.5070 0.2860 0.5000
0.7476 0.1097 0.0000
0.7524 0.6097 0.0000
0.9930 0.7860 0.5000
0.2225 0.6427 0.0000
0.2775 0.1427 0.0000
0.7225 0.8573 0.0000
0.7775 0.3573 0.0000
0.1043 0.3570 0.5000
0.1143 0.9181 0.5000
0.1312 0.1445 0.0000
0.1454 0.7385 0.0000
0.1506 0.5435 0.0000
0.3494 0.0435 0.0000
0.3546 0.2385 0.0000
0.3688 0.6445 0.0000
0.3857 0.4181 0.5000
0.3957 0.8570 0.5000
0.6043 0.1430 0.5000
0.6143 0.5819 0.5000
0.6312 0.3555 0.0000
0.6454 0.7615 0.0000
0.6506 0.9565 0.0000
0.8494 0.4565 0.0000
0.8546 0.2615 0.0000
0.8688 0.8555 0.0000
0.8857 0.0819 0.5000
0.8957 0.6430 0.5000
```

(7)
Li2TeCl after structural relaxation, computed with GGA-PBEsol.

## Properties
The raw formation energy is -1.208 eV/atom. The calculation puts the density of states at the Fermi level at 0.27 states/eV per cell. The calculation puts the total energy at -3.5748 eV per atom. For the density, the calculation gives 3.49 g/cm³. The calculated volume is 21.06 Å³/atom. Its relative energy among the computed polymorphs is 0.019 eV per atom.

The structure in POSCAR format:
```
Li2TeCl
1.0
3.4294 0.0000 0.0000
0.0000 3.4294 0.0000
0.0000 0.0000 7.1616
Li Te Cl
2 1 1
Direct
0.0000 0.0000 0.0000
0.5000 0.5000 0.4025
0.0000 0.0000 0.6071
0.5000 0.5000 0.0807
```

(8)
SiIN3 after structural relaxation, computed with GGA-PBEsol.

## Properties
The raw formation energy is 2.069 eV/atom. The calculation puts the density of states at the Fermi level at 1.94 states/eV per cell. The calculation puts the total energy at -4.5497 eV per atom. For the density, the calculation gives 5.41 g/cm³. The calculated volume is 12.10 Å³/atom.

The structure in POSCAR format:
```
SiIN3
1.0
3.9261 0.0000 0.0000
0.0000 3.9261 0.0000
0.0000 0.0000 3.9261
Si I N
1 1 3
Direct
0.0000 0.0000 0.0000
0.5000 0.5000 0.5000
0.0000 0.5000 0.5000
0.5000 0.0000 0.5000
0.5000 0.5000 0.0000
```

(9)
Ta2PbAu after structural relaxation, computed with GGA-PBEsol.

## Properties
As for the formation energy: 250.6 meV per atom. The calculation puts the density of states at the Fermi level at 5.05 states/eV per cell. The calculation puts the total energy at -8.0056 eV per atom. For the density, the calculation gives 16.77 g/cm³. The calculated volume is 18.96 Å³/atom.

The structure in POSCAR format:
```
Ta2PbAu
1.0
9.8560 0.0000 0.0000
0.0000 3.1863 0.0000
-1.1144 0.0000 4.8301
Ta Pb Au
4 2 2
Direct
0.2457 0.0000 0.2275
0.2543 0.5000 0.7725
0.7457 0.5000 0.2275
0.7543 0.0000 0.7725
0.0000 0.0000 0.5000
0.5000 0.5000 0.5000
0.0000 0.5000 0.0000
0.5000 0.0000 0.0000
```

(10)
EuMgTl2 after structural relaxation, computed with GGA-PBEsol.

## Properties
As for the formation energy: -382.4 meV per atom. The calculation puts the density of states at the Fermi level at 18.72 states/eV per cell. The calculation puts the total energy at -4.7676 eV per atom. For the density, the calculation gives 9.40 g/cm³. The calculated volume is 25.85 Å³/atom.

The structure in POSCAR format:
```
EuMgTl2
1.0
7.4505 0.0000 0.0000
0.0000 7.4505 0.0000
0.0000 0.0000 7.4505
Eu Mg Tl
4 4 8
Direct
0.0000 0.0000 0.0000
0.0000 0.5000 0.5000
0.5000 0.0000 0.5000
0.5000 0.5000 0.0000
0.0000 0.0000 0.5000
0.0000 0.5000 0.0000
0.5000 0.0000 0.0000
0.5000 0.5000 0.5000
0.2500 0.2500 0.2500
0.2500 0.2500 0.7500
0.2500 0.7500 0.2500
0.2500 0.7500 0.7500
0.7500 0.2500 0.2500
0.7500 0.2500 0.7500
0.7500 0.7500 0.2500
0.7500 0.7500 0.7500
```

(11)
AsNCl2 after structural relaxation, computed with GGA-PBEsol.

## Properties
The raw formation energy is 1.206 eV/atom. The calculation puts the density of states at the Fermi level at 4.57 states/eV per cell. The calculation puts the total energy at -3.2066 eV per atom. For the density, the calculation gives 3.66 g/cm³. The calculated volume is 18.15 Å³/atom.

The structure in POSCAR format:
```
AsNCl2
1.0
3.2525 0.0000 0.0000
-1.6263 2.8168 0.0000
0.0000 0.0000 23.7778
As N Cl
3 3 6
Direct
0.0000 0.0000 0.0000
0.3333 0.6667 0.6667
0.6667 0.3333 0.3333
0.0000 0.0000 0.5000
0.3333 0.6667 0.1667
0.6667 0.3333 0.8333
0.0000 0.0000 0.4180
0.0000 0.0000 0.5820
0.3333 0.6667 0.0847
0.3333 0.6667 0.2486
0.6667 0.3333 0.7514
0.6667 0.3333 0.9153
```

Q: What is the density in the ninth record?
A: 16.77 g/cm³

Q: The highest calculated volume belongs to which entry?
A: EuMgTl2

Q: Number 1 is which compound?
A: GaS3N

Q: What is the calculated volume in the ninth record?
A: 18.96 Å³/atom